Record 1
VASP calculation (GGA-PBE) on an optimized crystal structure of Cs2RbClO.

Unit cell a=4.388 b=15.108 c=10.732 alpha=90.00 beta=90.00 gamma=90.00
Space group Cmcm (No. 63)
One atom of each set of equivalent atoms:
Cs (0.000, 0.125, 0.049) x8
Rb (0.000, 0.433, 0.250) x4
Cl (0.000, 0.231, 0.750) x4
O (0.000, 0.500, 0.000) x4

Summary:
Energy above the lowest structure with this stoichiometry in eV/atom: 0.000
Formation energy from raw total energies in kJ/mol of formula units: -652.8

=====

Record 2
VASP calculation (GGA-PBE) on an optimized crystal structure of Cs3RbCl2O.

Unit cell a=5.551 b=5.781 c=17.709 alpha=90.00 beta=90.00 gamma=90.00
Space group Immm (No. 71)
One atom of each set of equivalent atoms:
Cs (0.000, 0.000, 0.000) x2
Cs (0.000, 0.500, 0.158) x4
Rb (0.000, 0.000, 0.500) x2
Cl (0.000, 0.500, 0.364) x4
O (0.000, 0.500, 0.000) x2

Summary:
Formation energy from raw total energies in kJ/mol of formula units: -1017.1

=====

Record 3
VASP calculation (GGA-PBE) on an optimized crystal structure of Cs2Rb5Cl3O2.

Unit cell a=5.521 b=5.521 c=28.525 alpha=90.00 beta=90.00 gamma=90.00
Space group I4/mmm (No. 139)
One atom of each set of equivalent atoms:
Cs (0.000, 0.000, 0.194) x4
Rb (0.000, 0.000, 0.000) x2
Rb (0.000, 0.500, 0.096) x8
Cl (0.000, 0.000, 0.325) x4
Cl (0.000, 0.000, 0.500) x2
O (0.000, 0.000, 0.099) x4

Summary:
Formation energy from raw total energies in kJ/mol of formula units: -1658.3

=====

Record 4
VASP calculation (GGA-PBE) on an optimized crystal structure of Cs2RbClO.

Unit cell a=5.851 b=5.851 c=5.520 alpha=90.00 beta=90.00 gamma=90.00
Space group P4/mmm (No. 123)
One atom of each set of equivalent atoms:
Cs (0.000, 0.500, 0.000) x2
Rb (0.000, 0.000, 0.500) x1
Cl (0.500, 0.500, 0.500) x1
O (0.000, 0.000, 0.000) x1

Summary:
Energy above the lowest structure with this stoichiometry in eV/atom: 0.058
Formation energy from raw total energies in kJ/mol of formula units: -625.0

=====

Record 5
VASP calculation (GGA-PBE) on an optimized crystal structure of CsRb2ClO.

Unit cell a=8.255 b=5.436 c=10.773 alpha=90.00 beta=108.09 gamma=90.00
Space group P2_1/m (No. 11)
One atom of each set of equivalent atoms:
Cs (0.100, 0.250, 0.187) x2
Rb (0.429, 0.750, 0.846) x2
Rb (0.472, 0.250, 0.595) x2
Cl (0.221, 0.250, 0.882) x2
O (0.417, 0.250, 0.331) x2

Summary:
Energy above the lowest structure with this stoichiometry in eV/atom: 0.000
Formation energy from raw total energies in kJ/mol of formula units: -635.5

=====

Record 6
VASP calculation (GGA-PBE) on an optimized crystal structure of CsRb2ClO.

Unit cell a=5.536 b=5.536 c=5.840 alpha=90.00 beta=90.00 gamma=90.00
Space group P4/mmm (No. 123)
One atom of each set of equivalent atoms:
Cs (0.000, 0.000, 0.000) x1
Rb (0.000, 0.500, 0.500) x2
Cl (0.500, 0.500, 0.000) x1
O (0.000, 0.000, 0.500) x1

Summary:
Energy above the lowest structure with this stoichiometry in eV/atom: 0.021
Formation energy from raw total energies in kJ/mol of formula units: -625.2

=====

Taking the records one at a time from the top gives calculated total energy values of -3.25; -3.25; -3.27; -3.19; -3.24; -3.21 eV/atom.